Compound: La5Pm5Cd2
Source: Alexandria via LeMat-Bulk
Functional: PBE-GGA
Structure: optimized geometry

Output
energy of formation: -68 meV per atom
calculated total energy: -51.04 eV/f.u.

a b c (Å): 5.642 6.871 11.419
angles (deg): 89.85 90.00 114.24
Fractional coordinates of all 12 atoms:
1 La 0.680 0.359 0.034
2 La 0.483 0.965 0.252
3 Pm 0.684 0.367 0.464
4 La 0.320 0.641 0.966
5 Cd 0.148 0.296 0.752
6 Pm 0.000 0.000 0.000
7 Pm 0.316 0.633 0.536
8 Cd 0.852 0.704 0.248
9 Pm 0.183 0.367 0.253
10 La 0.000 0.000 0.500
11 Pm 0.817 0.633 0.747
12 La 0.517 0.035 0.748